The following is a DFT calculation (PBE+U) of a geometry-optimized Li3BeCr3O8 structure.

POSCAR file:
```
Li3BeCr3O8
1.0
4.9603 -2.8748 0.0000
4.9603 2.8748 0.0000
-3.2927 0.0000 4.8413
Li Be Cr O
3 1 3 8
Cartesian
0.0000 0.0000 0.0000
2.4802 1.4374 0.0000
2.4802 -1.4374 0.0000
-1.6463 0.0000 2.4207
0.8338 1.4374 2.4207
0.8338 -1.4374 2.4207
3.3140 0.0000 2.4207
2.4938 1.5456 3.3933
0.0760 0.0000 3.4754
4.1342 1.5456 1.4480
1.6518 0.0000 1.2980
4.9761 0.0000 3.5434
2.4938 -1.5456 3.3933
6.5519 0.0000 1.3659
4.1342 -1.5456 1.4480
```

- calculated volume (A^3/atom) = 9.20
- DFT total energy (eV per atom) = -6.6591
- mass density (g/cm3) = 3.77